## ZnCdAs2Se (GGA-PBE)

Data for a geometry-optimized ZnCdAs2Se structure.

Output
Crystal system: tetragonal
ΔE_f (raw): 54 kJ/mol of atoms
Relative energy among the computed polymorphs: 0 meV/atom
Mass density: 5.67 g/cm³
Space group: P4/mmm, No. 123
Size of the total moment: 0.00 μB per cell

Cell: 4.8239 4.8239 5.1208 Å, 90.00 90.00 90.00°
With the nearest neighbours (Å) after each atom.
Sites, in units of the cell vectors:
Zn  0.0000  0.0000  0.0000  4 As 2.41, 2 Se 2.56
Cd  0.5000  0.5000  0.5000  4 Se 3.41, 8 As 3.52
Se  0.0000  0.0000  0.5000  2 Zn 2.56
As  0.5000  0.0000  0.0000  2 Zn 2.41
As  0.0000  0.5000  0.0000  2 Zn 2.41


## ZnCdAs2Se (GGA-PBE)

Data for a geometry-optimized ZnCdAs2Se structure.

Output
Crystal system: tetragonal
ΔE_f (raw): 90 kJ/mol of atoms
Relative energy among the computed polymorphs: 379 meV/atom
Mass density: 4.76 g/cm³
Space group: P4/mmm, No. 123
Size of the total moment: 1.22 μB per cell

Cell: 5.1851 5.1851 5.2755 Å, 90.00 90.00 90.00°
With the nearest neighbours (Å) after each atom.
Sites, in units of the cell vectors:
As  0.5000  0.0000  0.0000  2 Cd 2.59
As  0.0000  0.5000  0.0000  2 Cd 2.59
Cd  0.0000  0.0000  0.0000  4 As 2.59, 2 Se 2.64
Zn  0.5000  0.5000  0.5000  4 Se 3.67, 8 As 3.70
Se  0.0000  0.0000  0.5000  2 Cd 2.64


## ZnCdAsSe2 (GGA-PBE)

Data for a geometry-optimized ZnCdAsSe2 structure.

Output
Crystal system: tetragonal
ΔE_f (raw): 76 kJ/mol of atoms
Relative energy among the computed polymorphs: 354 meV/atom
Mass density: 4.73 g/cm³
Space group: P4/mmm, No. 123
Size of the total moment: 0.97 μB per cell

Cell: 5.2588 5.2588 5.2083 Å, 90.00 90.00 90.00°
With the nearest neighbours (Å) after each atom.
Sites, in units of the cell vectors:
Cd  0.0000  0.0000  0.0000  2 As 2.60, 4 Se 2.63
Se  0.5000  0.0000  0.0000  2 Cd 2.63
Se  0.0000  0.5000  0.0000  2 Cd 2.63
Zn  0.5000  0.5000  0.5000  8 Se 3.70, 4 As 3.72
As  0.0000  0.0000  0.5000  2 Cd 2.60


## ZrCdAs2Se (GGA-PBE)

Data for a geometry-optimized ZrCdAs2Se structure.

Output
Crystal system: tetragonal
ΔE_f (raw): 2 kJ/mol of atoms
Relative energy among the computed polymorphs: 0 meV/atom
Mass density: 5.03 g/cm³
Space group: P4/mmm, No. 123
Size of the total moment: 0.00 μB per cell

Cell: 5.2560 5.2560 5.1634 Å, 90.00 90.00 90.00°
With the nearest neighbours (Å) after each atom.
Sites, in units of the cell vectors:
As  0.5000  0.0000  0.0000  2 Zr 2.63
As  0.0000  0.5000  0.0000  2 Zr 2.63
Cd  0.5000  0.5000  0.5000  8 As 3.68, 4 Se 3.72
Zr  0.0000  0.0000  0.0000  2 Se 2.58, 4 As 2.63
Se  0.0000  0.0000  0.5000  2 Zr 2.58


## ZrCdAs2Se (GGA-PBE)

Data for a geometry-optimized ZrCdAs2Se structure.

Output
Crystal system: tetragonal
ΔE_f (raw): 68 kJ/mol of atoms
Relative energy among the computed polymorphs: 685 meV/atom
Mass density: 5.60 g/cm³
Space group: P4/mmm, No. 123
Size of the total moment: 0.00 μB per cell

Cell: 5.0091 5.0091 5.1109 Å, 90.00 90.00 90.00°
With the nearest neighbours (Å) after each atom.
Sites, in units of the cell vectors:
Zr  0.5000  0.5000  0.5000  4 Se 3.54, 8 As 3.58
Se  0.0000  0.0000  0.5000  2 Cd 2.56
As  0.0000  0.5000  0.0000  2 Cd 2.50
As  0.5000  0.0000  0.0000  2 Cd 2.50
Cd  0.0000  0.0000  0.0000  4 As 2.50, 2 Se 2.56


## CdSi2As (GGA-PBE)

Data for a geometry-optimized CdSi2As structure.

Output
Crystal system: monoclinic
ΔE_f (raw): 33 kJ/mol of atoms
Relative energy among the computed polymorphs: 28 meV/atom
Mass density: 5.20 g/cm³
Space group: P2/m, No. 10
Size of the total moment: 0.00 μB per cell

Cell: 3.5843 2.7147 8.1130 Å, 80.09 90.00 90.00°
With the nearest neighbours (Å) after each atom.
Sites, in units of the cell vectors:
Si  0.0000  0.1436  0.4799  2 As 2.57, 2 Si 2.71
Si  0.0000  0.3564  0.0201  2 As 2.57, 2 Si 2.71
Cd  0.5000  0.7500  0.7500  2 Cd 2.71, 4 Si 2.89
As  0.5000  0.2500  0.2500  4 Si 2.57, 2 As 2.71


## Cd2SiAs (GGA-PBE)

Data for a geometry-optimized Cd2SiAs structure.

Output
Crystal system: orthorhombic
ΔE_f (raw): 34 kJ/mol of atoms
Mass density: 6.55 g/cm³
Space group: Pmmm, No. 47
Size of the total moment: 0.00 μB per cell

Cell: 4.1564 4.2412 4.7147 Å, 90.00 90.00 90.00°
With the nearest neighbours (Å) after each atom.
Sites, in units of the cell vectors:
Cd  0.5000  0.5000  0.0000  4 Cd 2.97, 4 As 3.14, 4 Si 3.17
Cd  0.0000  0.0000  0.0000  4 Cd 2.97, 4 Si 3.14, 4 As 3.17
Si  0.5000  0.0000  0.5000  4 As 2.97, 8 Cd 3.14-3.17
As  0.0000  0.5000  0.5000  4 Si 2.97, 8 Cd 3.14-3.17


## CdSiAs2 (GGA-PBE)

Data for a geometry-optimized CdSiAs2 structure.

Output
Crystal system: cubic
ΔE_f (raw): 42 kJ/mol of atoms
Mass density: 6.15 g/cm³
Space group: Fm-3m, No. 225
Size of the total moment: 0.00 μB per cell

Cell: 4.8038 4.8038 4.8038 Å, 60.00 60.00 60.00°
With the nearest neighbours (Å) after each atom.
Sites, in units of the cell vectors:
Cd  0.5000  0.5000  0.5000  8 As 2.94
As  0.7500  0.7500  0.7500  4 Cd 2.94, 4 Si 2.94
As  0.2500  0.2500  0.2500  4 Si 2.94, 4 Cd 2.94
Si  0.0000  0.0000  0.0000  8 As 2.94


## CdSiAs (GGA-PBE)

Data for a geometry-optimized CdSiAs structure.

Output
Crystal system: hexagonal
ΔE_f (raw): 38 kJ/mol of atoms
Relative energy among the computed polymorphs: 122 meV/atom
Mass density: 6.09 g/cm³
Space group: P-6m2, No. 187
Size of the total moment: 0.00 μB per cell

Cell: 4.8316 4.8316 2.9062 Å, 90.00 90.00 120.00°
With the nearest neighbours (Å) after each atom.
Sites, in units of the cell vectors:
Si  0.3333  0.6667  0.8340  3 As 2.79, 2 Si 2.91
Cd  0.6667  0.3333  0.3323  2 Cd 2.91, 6 Si 3.14-3.15, 6 As 3.14-3.15
As  0.0000  0.0000  0.8337  3 Si 2.79, 2 As 2.91


## CdSiAs (GGA-PBE)

Data for a geometry-optimized CdSiAs structure.

Output
Crystal system: trigonal
ΔE_f (raw): 26 kJ/mol of atoms
Relative energy among the computed polymorphs: 0 meV/atom
Mass density: 5.27 g/cm³
Space group: P3_2, No. 145
Size of the total moment: 0.00 μB per cell

Cell: 5.6772 5.6772 7.3011 Å, 90.00 90.00 120.00°
With the nearest neighbours (Å) after each atom.
Sites, in units of the cell vectors:
Cd  0.3804  0.2746  0.0269  2 Si 2.69-2.79, 2 As 2.78-2.90
Cd  0.7254  0.1058  0.6936  2 Si 2.69-2.79, 2 As 2.78-2.90
Cd  0.8942  0.6196  0.3602  2 Si 2.69-2.79, 2 As 2.78-2.90
Si  0.1886  0.6852  0.6651  2 As 2.44-2.48, 1 Cd 2.69
Si  0.4967  0.8114  0.9984  2 As 2.44-2.48, 1 Cd 2.69
Si  0.3148  0.5033  0.3317  2 As 2.44-2.48, 1 Cd 2.69
As  0.2783  0.3082  0.6414  2 Si 2.44-2.48
As  0.6918  0.9701  0.3080  2 Si 2.44-2.48
As  0.0299  0.7217  0.9747  2 Si 2.44-2.48


## Cd2SiAs5 (GGA-PBE)

Data for a geometry-optimized Cd2SiAs5 structure.

Output
Crystal system: tetragonal
ΔE_f (raw): 27 kJ/mol of atoms
Mass density: 4.81 g/cm³
Space group: I4mm, No. 107
Size of the total moment: 0.00 μB per cell

Cell: 5.5281 5.5281 8.0949 Å, 109.96 109.96 90.00°
With the nearest neighbours (Å) after each atom.
Sites, in units of the cell vectors:
Si  0.9373  0.9373  0.8745  5 As 2.36-2.47
Cd  0.7152  0.2152  0.4305  2 As 2.88
Cd  0.2152  0.7152  0.4305  2 As 2.88
As  0.7729  0.7729  0.0691  1 Si 2.47, 2 As 2.63
As  0.2962  0.7729  0.0691  1 Si 2.47, 2 As 2.63
As  0.7711  0.7711  0.5422  1 Si 2.36
As  0.7729  0.2962  0.0691  1 Si 2.47, 2 As 2.63
As  0.2962  0.2962  0.0691  1 Si 2.47, 2 As 2.63


## Cd2SiAs (GGA-PBE)

Data for a geometry-optimized Cd2SiAs structure.

Output
Crystal system: orthorhombic
ΔE_f (raw): 30 kJ/mol of atoms
Mass density: 6.41 g/cm³
Space group: Cmm2, No. 35
Size of the total moment: 0.00 μB per cell

Cell: 2.9785 2.9785 10.3118 Å, 90.00 90.00 111.79°
With the nearest neighbours (Å) after each atom.
Sites, in units of the cell vectors:
Cd  0.5000  0.5000  0.2713  6 Cd 2.98-3.33, 2 Si 3.09
Cd  0.0000  0.0000  0.9918  6 Cd 2.98-3.33, 2 As 3.32
Si  0.0000  0.0000  0.5237  2 As 2.57
As  0.5000  0.5000  0.7132  2 Si 2.57


## CdSiAs2 (GGA-PBE)

Data for a geometry-optimized CdSiAs2 structure.

Output
Crystal system: tetragonal
ΔE_f (raw): 9 kJ/mol of atoms
Mass density: 5.49 g/cm³
Space group: P4mm, No. 99
Size of the total moment: 0.00 μB per cell

Cell: 3.6023 3.6018 6.7658 Å, 90.00 90.00 90.00°
With the nearest neighbours (Å) after each atom.
Sites, in units of the cell vectors:
As  0.5000  0.5000  0.2813  1 Si 2.39
As  0.0000  0.0000  0.8422  4 Si 2.61, 1 Cd 2.67
Cd  0.0000  0.0000  0.4479  5 As 2.67-2.79
Si  0.5000  0.5000  0.9286  5 As 2.39-2.61


## Cd2SiAs (GGA-PBE)

Data for a geometry-optimized Cd2SiAs structure.

Output
Crystal system: tetragonal
ΔE_f (raw): 34 kJ/mol of atoms
Mass density: 6.56 g/cm³
Space group: I4/mmm, No. 139
Size of the total moment: 0.00 μB per cell

Cell: 5.4630 5.4630 5.4630 Å, 133.99 133.99 67.11°
With the nearest neighbours (Å) after each atom.
Sites, in units of the cell vectors:
As  0.7500  0.2500  0.5000  4 Si 3.02, 8 Cd 3.12
Cd  0.0000  0.0000  0.0000  4 Cd 3.02, 4 As 3.12, 4 Si 3.12
Cd  0.5000  0.5000  0.0000  4 Cd 3.02, 4 As 3.12, 4 Si 3.12
Si  0.2500  0.7500  0.5000  4 As 3.02, 8 Cd 3.12


## CdSi2As (GGA-PBE)

Data for a geometry-optimized CdSi2As structure.

Output
Crystal system: monoclinic
ΔE_f (raw): 40 kJ/mol of atoms
Relative energy among the computed polymorphs: 101 meV/atom
Mass density: 4.71 g/cm³
Space group: C2/m, No. 12
Size of the total moment: 0.00 μB per cell

Cell: 5.1666 5.1666 6.3837 Å, 55.98 55.98 38.77°
With the nearest neighbours (Å) after each atom.
Sites, in units of the cell vectors:
Si  0.4794  0.4794  0.6221  2 As 2.54, 2 Si 2.56
Si  0.0206  0.0206  0.8779  2 As 2.54, 2 Si 2.56
Cd  0.2500  0.2500  0.2500  4 Si 2.85
As  0.7500  0.7500  0.7500  4 Si 2.54


## CdSiAs (GGA-PBE)

Data for a geometry-optimized CdSiAs structure.

Output
Crystal system: tetragonal
ΔE_f (raw): 30 kJ/mol of atoms
Relative energy among the computed polymorphs: 41 meV/atom
Mass density: 5.71 g/cm³
Space group: I4mm, No. 107
Size of the total moment: 0.00 μB per cell

Cell: 5.5942 5.5942 5.5942 Å, 143.11 143.11 53.16°
With the nearest neighbours (Å) after each atom.
Sites, in units of the cell vectors:
Si  0.6199  0.6199  0.0000  4 As 2.61, 1 Cd 2.87
Cd  0.3333  0.3333  0.0000  1 As 2.87, 1 Si 2.87
As  0.0468  0.0468  0.0000  4 Si 2.61, 1 Cd 2.87


## Cd2SiAs (GGA-PBE)

Data for a geometry-optimized Cd2SiAs structure.

Output
Crystal system: monoclinic
ΔE_f (raw): 34 kJ/mol of atoms
Mass density: 6.55 g/cm³
Space group: C2/m, No. 12
Size of the total moment: 0.00 μB per cell

Cell: 6.7206 5.3624 3.0365 Å, 84.61 72.43 122.76°
With the nearest neighbours (Å) after each atom.
Sites, in units of the cell vectors:
As  0.5000  0.5000  0.0000  8 Cd 2.95-3.20, 2 As 3.04, 2 Si 3.24
Cd  0.5000  0.0000  0.5000  4 As 2.95-3.20, 4 Si 2.95-3.20, 4 Cd 3.04-3.24
Cd  0.0000  0.0000  0.0000  4 Si 2.95-3.20, 4 As 2.95-3.20, 4 Cd 3.04-3.24
Si  0.0000  0.5000  0.5000  8 Cd 2.95-3.20, 2 Si 3.04, 2 As 3.24


## Cd4SiAs (GGA-PBE)

Data for a geometry-optimized Cd4SiAs structure.

Output
Crystal system: cubic
ΔE_f (raw): 43 kJ/mol of atoms
Mass density: 6.86 g/cm³
Space group: F-43m, No. 216
Size of the total moment: 0.00 μB per cell

Cell: 5.7404 5.7404 5.7404 Å, 60.00 60.00 60.00°
With the nearest neighbours (Å) after each atom.
Sites, in units of the cell vectors:
As  0.0000  0.0000  0.0000  12 Cd 3.37, 4 Si 3.52
Cd  0.3752  0.8743  0.3752  6 Cd 2.86-2.88
Cd  0.8743  0.3752  0.3752  6 Cd 2.86-2.88
Cd  0.3752  0.3752  0.8743  6 Cd 2.86-2.88
Cd  0.3752  0.3752  0.3752  6 Cd 2.86-2.88
Si  0.7500  0.7500  0.7500  12 Cd 3.37, 4 As 3.52


## Cd2SiAs (GGA-PBE)

Data for a geometry-optimized Cd2SiAs structure.

Output
Crystal system: monoclinic
ΔE_f (raw): 22 kJ/mol of atoms
Mass density: 6.48 g/cm³
Space group: Pm, No. 6
Size of the total moment: 0.00 μB per cell

Cell: 5.3811 2.7498 5.8924 Å, 74.40 90.00 90.00°
With the nearest neighbours (Å) after each atom.
Sites, in units of the cell vectors:
Cd  0.5000  0.3521  0.1440  6 Cd 2.75-3.04, 2 As 2.97
Cd  0.0000  0.8800  0.1027  6 Cd 2.75-3.04, 3 Si 2.98-3.02
Si  0.0000  0.6362  0.6329  2 As 2.69, 2 Si 2.75, 2 Cd 2.98-3.01
As  0.5000  0.6317  0.6203  2 Si 2.69, 2 As 2.75, 2 Cd 2.97


## CdSi2As (GGA-PBE)

Data for a geometry-optimized CdSi2As structure.

Output
Crystal system: tetragonal
ΔE_f (raw): 46 kJ/mol of atoms
Relative energy among the computed polymorphs: 159 meV/atom
Mass density: 5.25 g/cm³
Space group: P4/mmm, No. 123
Size of the total moment: 0.00 μB per cell

Cell: 3.3526 3.3526 6.8502 Å, 90.00 90.00 90.00°
With the nearest neighbours (Å) after each atom.
Sites, in units of the cell vectors:
As  0.5000  0.5000  0.2500  8 Si 2.71
Si  0.0000  0.0000  0.0569  1 Si 2.65, 4 As 2.71
Si  0.0000  0.0000  0.4431  1 Si 2.65, 4 As 2.71
Cd  0.5000  0.5000  0.7500  8 Si 3.17, 4 Cd 3.35, 2 As 3.43